[1]
Here is an optimized crystal structure of NbSiC2Cl from Alexandria via LeMat-Bulk. Energies are from PBE.

Space group: P4/mmm
Raw total energy: -5.73 eV per atom
Crystal system: tetragonal

a b c (Å): 4.0805 5.5392 4.0805
angles (deg): 90.00 90.00 90.00
Last column: nearest neighbours and their distance in Å.
Atoms (fractional coordinates):
Cl  0.5000  0.5000  0.5000  4 Si 2.89
Nb  0.0000  0.0000  0.0000  4 C 2.04
C  0.5000  0.0000  0.0000  2 Nb 2.04
C  0.0000  0.0000  0.5000  2 Nb 2.04
Si  0.0000  0.5000  0.0000  2 Nb 2.77, 4 Cl 2.89


[2]
Here is an optimized crystal structure of NbZnC2Cl from Alexandria via LeMat-Bulk. Energies are from PBE.

Space group: P4/mmm
Raw total energy: -4.27 eV per atom
Crystal system: tetragonal

a b c (Å): 3.7880 5.3589 3.7880
angles (deg): 90.00 90.00 90.00
Last column: nearest neighbours and their distance in Å.
Atoms (fractional coordinates):
C  0.0000  0.0000  0.5000  2 Zn 1.89
Cl  0.5000  0.5000  0.5000  4 Nb 2.68
Zn  0.0000  0.0000  0.0000  4 C 1.89
Nb  0.0000  0.5000  0.0000  4 Cl 2.68, 2 Zn 2.68
C  0.5000  0.0000  0.0000  2 Zn 1.89


[3]
Here is an optimized crystal structure of NdCCl from Alexandria via LeMat-Bulk. Energies are from PBE.

Space group: Immm
Raw total energy: -6.09 eV per atom
Crystal system: orthorhombic

a b c (Å): 4.4978 3.6966 8.3557
angles (deg): 102.78 105.61 90.00
Last column: nearest neighbours and their distance in Å.
Atoms (fractional coordinates):
Nd  0.1187  0.6187  0.2373  2 C 2.46
Cl  0.3156  0.8156  0.6313  5 Nd 3.09
C  0.6407  0.5000  0.0000  1 C 1.27
C  0.3593  0.5000  0.0000  1 C 1.27
Cl  0.6844  0.1844  0.3687  5 Nd 3.09
Nd  0.8813  0.3813  0.7627  2 C 2.46


[4]
Here is an optimized crystal structure of Nd4CCl6 from Alexandria via LeMat-Bulk. Energies are from PBE.

Space group: P4_2/nmc
Raw total energy: -5.22 eV per atom
Crystal system: tetragonal

a b c (Å): 6.7062 9.2461 9.2461
angles (deg): 90.00 90.00 90.00
Last column: nearest neighbours and their distance in Å.
Atoms (fractional coordinates):
Nd  0.8594  0.2633  0.5000  1 C 2.38
C  0.0000  0.5000  0.5000  4 Nd 2.38
Cl  0.0989  0.0000  0.5000  4 Nd 2.92-3.00
C  0.5000  0.0000  0.0000  4 Nd 2.38
Cl  0.0000  0.2028  0.2028  4 Nd 2.96-3.07
Nd  0.3594  0.0000  0.2367  1 C 2.38
Cl  0.5000  0.7028  0.7028  4 Nd 2.96-3.07
Cl  0.5000  0.2972  0.2972  4 Nd 2.96-3.07
Cl  0.0000  0.7972  0.2028  4 Nd 2.96-3.07
Cl  0.5000  0.7028  0.2972  4 Nd 2.96-3.07
Nd  0.6406  0.2367  0.0000  1 C 2.38
Cl  0.5989  0.0000  0.5000  4 Nd 2.92-3.00
Cl  0.0000  0.2028  0.7972  4 Nd 2.96-3.07
Nd  0.8594  0.7367  0.5000  1 C 2.38
Nd  0.3594  0.0000  0.7633  1 C 2.38
Cl  0.4011  0.5000  0.0000  4 Nd 2.92-3.00
Nd  0.1406  0.5000  0.7367  1 C 2.38
Nd  0.1406  0.5000  0.2633  1 C 2.38
Cl  0.9011  0.5000  0.0000  4 Nd 2.92-3.00
Cl  0.0000  0.7972  0.7972  4 Nd 2.96-3.07
Nd  0.6406  0.7633  0.0000  1 C 2.38
Cl  0.5000  0.2972  0.7028  4 Nd 2.96-3.07


Copy entry 2 word for word.
Here is an optimized crystal structure of NbZnC2Cl from Alexandria via LeMat-Bulk. Energies are from PBE.

Space group: P4/mmm
Raw total energy: -4.27 eV per atom
Crystal system: tetragonal

a b c (Å): 3.7880 5.3589 3.7880
angles (deg): 90.00 90.00 90.00
Last column: nearest neighbours and their distance in Å.
Atoms (fractional coordinates):
C  0.0000  0.0000  0.5000  2 Zn 1.89
Cl  0.5000  0.5000  0.5000  4 Nb 2.68
Zn  0.0000  0.0000  0.0000  4 C 1.89
Nb  0.0000  0.5000  0.0000  4 Cl 2.68, 2 Zn 2.68
C  0.5000  0.0000  0.0000  2 Zn 1.89


Please write out number 2 again, unchanged.
Here is an optimized crystal structure of NbZnC2Cl from Alexandria via LeMat-Bulk. Energies are from PBE.

Space group: P4/mmm
Raw total energy: -4.27 eV per atom
Crystal system: tetragonal

a b c (Å): 3.7880 5.3589 3.7880
angles (deg): 90.00 90.00 90.00
Last column: nearest neighbours and their distance in Å.
Atoms (fractional coordinates):
C  0.0000  0.0000  0.5000  2 Zn 1.89
Cl  0.5000  0.5000  0.5000  4 Nb 2.68
Zn  0.0000  0.0000  0.0000  4 C 1.89
Nb  0.0000  0.5000  0.0000  4 Cl 2.68, 2 Zn 2.68
C  0.5000  0.0000  0.0000  2 Zn 1.89


Q: Which value of raw total energy does entry 1 give?
A: -5.73 eV per atom


Q: What is the formula in the fourth record?
A: Nd4CCl6